Entry 1:
Here is a relaxed SnHSe2Br crystal from the Alexandria database. Energies are from GGA-PBEsol.

Calculated volume (Å³/atom): 19.7
Total energy (eV per cell): -16.63

Unit cell a=4.141 b=4.141 c=5.734 alpha=90.00 beta=90.00 gamma=90.00
Sites, in units of the cell vectors:
Sn 0.000 0.000 0.000
H 0.500 0.500 0.500
Se 0.000 0.500 0.500
Se 0.500 0.000 0.500
Br 0.500 0.500 0.000

Entry 2:
Here is a relaxed InGaOs2 crystal from the Alexandria database. Energies are from GGA-PBEsol.

ΔE_f (eV/atom): 0.392
Calculated volume (Å³/atom): 15.1

Unit cell a=4.406 b=4.406 c=4.406 alpha=60.00 beta=60.00 gamma=60.00
Sites, in units of the cell vectors:
In 0.000 0.000 0.000
Ga 0.500 0.500 0.500
Os 0.250 0.250 0.250
Os 0.750 0.750 0.750

Entry 3:
Here is a relaxed BaNi crystal from the Alexandria database. Energies are from GGA-PBEsol.

ΔE_f (eV/atom): 0.021
Calculated volume (Å³/atom): 30.9

Unit cell a=8.554 b=8.554 c=8.554 alpha=28.21 beta=28.21 gamma=28.21
Sites, in units of the cell vectors:
Ba 0.083 0.083 0.083
Ba 0.917 0.917 0.917
Ni 0.333 0.333 0.333
Ni 0.667 0.667 0.667

Entry 4:
Here is a relaxed BeAlSb2 crystal from the Alexandria database. Energies are from GGA-PBEsol.

Calculated volume (Å³/atom): 20.3
Uncorrected formation energy (eV/atom): 0.351
Energy above the lowest structure with this stoichiometry (eV/atom): 0.229

Unit cell a=3.000 b=3.000 c=9.006 alpha=90.00 beta=90.00 gamma=90.00
Sites, in units of the cell vectors:
Be 0.000 0.000 0.000
Al 0.500 0.500 0.841
Sb 0.000 0.000 0.567
Sb 0.500 0.500 0.210

Entry 5:
Here is a relaxed NaRe2HPb crystal from the Alexandria database. Energies are from GGA-PBEsol.

Calculated volume (Å³/atom): 15.9
Total energy (eV per cell): -23.53

Unit cell a=5.002 b=5.002 c=3.167 alpha=90.00 beta=90.00 gamma=90.00
Sites, in units of the cell vectors:
Na 0.000 0.000 0.000
Re 0.000 0.500 0.000
Re 0.500 0.000 0.000
H 0.000 0.000 0.500
Pb 0.500 0.500 0.500

Entry 6:
Here is a relaxed SnTeIO2 crystal from the Alexandria database. Energies are from GGA-PBEsol.

Calculated volume (Å³/atom): 22.3
Uncorrected formation energy (eV/atom): -0.128

Unit cell a=4.260 b=4.260 c=6.159 alpha=90.00 beta=90.00 gamma=90.00
Sites, in units of the cell vectors:
Sn 0.000 0.000 0.000
Te 0.500 0.500 0.500
I 0.500 0.500 0.000
O 0.000 0.500 0.500
O 0.500 0.000 0.500

Entry 7:
Here is a relaxed FeSiRu2 crystal from the Alexandria database. Energies are from GGA-PBEsol.

Calculated volume (Å³/atom): 12.4
Uncorrected formation energy (eV/atom): -0.286

Unit cell a=2.906 b=2.906 c=5.883 alpha=90.00 beta=90.00 gamma=90.00
Sites, in units of the cell vectors:
Fe 0.000 0.000 0.000
Si 0.000 0.000 0.500
Ru 0.500 0.500 0.263
Ru 0.500 0.500 0.737

Entry 8:
Here is a relaxed Pr5Ru2O12 crystal from the Alexandria database. Energies are from GGA-PBEsol.

Calculated volume (Å³/atom): 14.5
Uncorrected formation energy (eV/atom): -2.610

Unit cell a=7.036 b=7.036 c=7.650 alpha=105.78 beta=105.78 gamma=49.90
Sites, in units of the cell vectors:
Pr 0.000 0.000 0.000
Pr 0.307 0.307 0.143
Pr 0.309 0.309 0.667
Pr 0.691 0.691 0.333
Pr 0.693 0.693 0.857
Ru 0.235 0.765 0.500
Ru 0.765 0.235 0.500
O 0.001 0.001 0.685
O 0.096 0.587 0.422
O 0.096 0.595 0.922
O 0.405 0.904 0.078
O 0.413 0.904 0.578
O 0.500 0.500 0.331
O 0.500 0.500 0.669
O 0.587 0.096 0.422
O 0.595 0.096 0.922
O 0.904 0.405 0.078
O 0.904 0.413 0.578
O 0.999 0.999 0.315

Entry 9:
Here is a relaxed LaTa crystal from the Alexandria database. Energies are from GGA-PBEsol.

ΔE_f (eV/atom): 0.483
Calculated volume (Å³/atom): 25.7
Energy above the lowest structure with this stoichiometry (eV/atom): 0.193

Unit cell a=4.820 b=5.878 c=5.878 alpha=112.08 beta=90.00 gamma=90.00
Sites, in units of the cell vectors:
La 0.000 0.000 0.000
La 0.500 0.048 0.431
La 0.500 0.431 0.048
Ta 0.000 0.414 0.682
Ta 0.000 0.682 0.414
Ta 0.500 0.661 0.661

Entry 10:
Here is a relaxed Hf2Ga2Rh crystal from the Alexandria database. Energies are from GGA-PBEsol.

ΔE_f (eV/atom): -0.706
Calculated volume (Å³/atom): 16.7

Unit cell a=6.502 b=6.502 c=3.956 alpha=90.00 beta=90.00 gamma=90.00
Sites, in units of the cell vectors:
Hf 0.172 0.328 0.000
Hf 0.328 0.828 0.000
Hf 0.672 0.172 0.000
Hf 0.828 0.672 0.000
Ga 0.134 0.634 0.500
Ga 0.366 0.134 0.500
Ga 0.634 0.866 0.500
Ga 0.866 0.366 0.500
Rh 0.000 0.000 0.500
Rh 0.500 0.500 0.500

Entry 11:
Here is a relaxed Sc2NbCo crystal from the Alexandria database. Energies are from GGA-PBEsol.

ΔE_f (eV/atom): 0.332
Calculated volume (Å³/atom): 18.0
Energy above the lowest structure with this stoichiometry (eV/atom): 0.124

Unit cell a=9.581 b=9.581 c=9.581 alpha=17.81 beta=17.81 gamma=17.81
Sites, in units of the cell vectors:
Sc 0.101 0.101 0.101
Sc 0.899 0.899 0.899
Nb 0.000 0.000 0.000
Co 0.500 0.500 0.500

Entry 12:
Here is a relaxed TaSe2NF crystal from the Alexandria database. Energies are from GGA-PBEsol.

Calculated volume (Å³/atom): 14.5
Uncorrected formation energy (eV/atom): 1.086

Unit cell a=4.480 b=4.480 c=3.620 alpha=90.00 beta=90.00 gamma=90.00
Sites, in units of the cell vectors:
Ta 0.000 0.000 0.000
Se 0.000 0.500 0.500
Se 0.500 0.000 0.500
N 0.500 0.500 0.000
F 0.500 0.500 0.500

Entry 13:
Here is a relaxed BaTl2Sb crystal from the Alexandria database. Energies are from GGA-PBEsol.

Calculated volume (Å³/atom): 33.1
Uncorrected formation energy (eV/atom): -0.284
Energy above the lowest structure with this stoichiometry (eV/atom): 0.220

Unit cell a=7.055 b=7.055 c=3.770 alpha=105.43 beta=105.43 gamma=122.29
Sites, in units of the cell vectors:
Ba 0.000 0.000 0.000
Tl 0.000 0.500 0.500
Tl 0.500 0.000 0.500
Sb 0.500 0.500 0.000

Entry 14:
Here is a relaxed KSrZr2 crystal from the Alexandria database. Energies are from GGA-PBEsol.

ΔE_f (eV/atom): 0.798
Calculated volume (Å³/atom): 29.5
Energy above the lowest structure with this stoichiometry (eV/atom): 0.000

Unit cell a=3.197 b=3.197 c=12.889 alpha=90.00 beta=90.00 gamma=116.20
Sites, in units of the cell vectors:
K 0.000 0.000 0.000
Sr 0.000 0.000 0.500
Zr 0.500 0.500 0.266
Zr 0.500 0.500 0.734

Entry 15:
Here is a relaxed RhPb3 crystal from the Alexandria database. Energies are from GGA-PBEsol.

ΔE_f (eV/atom): 0.090
Calculated volume (Å³/atom): 24.5

Unit cell a=3.431 b=3.431 c=9.623 alpha=90.00 beta=90.00 gamma=120.00
Sites, in units of the cell vectors:
Rh 0.000 0.000 0.000
Pb 0.000 0.000 0.500
Pb 0.667 0.333 0.201
Pb 0.667 0.333 0.799

Entry 16:
Here is a relaxed Li2OsW crystal from the Alexandria database. Energies are from GGA-PBEsol.

ΔE_f (eV/atom): 0.478
Calculated volume (Å³/atom): 14.2
Energy above the lowest structure with this stoichiometry (eV/atom): 0.116

Unit cell a=2.529 b=4.480 c=5.027 alpha=90.00 beta=90.00 gamma=90.00
Sites, in units of the cell vectors:
Li 0.000 0.000 0.239
Li 0.000 0.000 0.761
Os 0.500 0.500 0.000
W 0.500 0.500 0.500

Entry 17:
Here is a relaxed ZnReMo2 crystal from the Alexandria database. Energies are from GGA-PBEsol.

ΔE_f (eV/atom): 0.223
Calculated volume (Å³/atom): 14.6

Unit cell a=4.797 b=4.797 c=4.797 alpha=132.79 beta=132.79 gamma=68.99
Sites, in units of the cell vectors:
Zn 0.000 0.000 0.000
Re 0.500 0.500 0.000
Mo 0.250 0.750 0.500
Mo 0.750 0.250 0.500

Entry 18:
Here is a relaxed HfAlS2 crystal from the Alexandria database. Energies are from GGA-PBEsol.

Calculated volume (Å³/atom): 20.4
Uncorrected formation energy (eV/atom): -0.582

Unit cell a=6.546 b=6.546 c=6.546 alpha=129.34 beta=129.34 gamma=74.47
Sites, in units of the cell vectors:
Hf 0.000 0.000 0.000
Hf 0.750 0.250 0.500
Al 0.250 0.750 0.500
Al 0.500 0.500 0.000
S 0.155 0.625 0.030
S 0.375 0.405 0.530
S 0.595 0.125 0.970
S 0.875 0.845 0.470

Entry 19:
Here is a relaxed BaNi3 crystal from the Alexandria database. Energies are from GGA-PBEsol.

ΔE_f (eV/atom): 0.459
Calculated volume (Å³/atom): 16.4

Unit cell a=3.075 b=3.085 c=6.921 alpha=90.00 beta=90.00 gamma=90.00
Sites, in units of the cell vectors:
Ba 0.000 0.000 0.000
Ni 0.000 0.000 0.500
Ni 0.500 0.500 0.335
Ni 0.500 0.500 0.665

Entry 20:
Here is a relaxed MnB3I crystal from the Alexandria database. Energies are from GGA-PBEsol.

Calculated volume (Å³/atom): 16.5
Uncorrected formation energy (eV/atom): 2.752

Unit cell a=4.355 b=4.355 c=4.355 alpha=90.00 beta=90.00 gamma=90.00
Sites, in units of the cell vectors:
Mn 0.000 0.000 0.000
B 0.000 0.500 0.500
B 0.500 0.000 0.500
B 0.500 0.500 0.000
I 0.500 0.500 0.500